# 1
# ZrMnRu2Pb PBE relaxed
data_ZrMnRu2Pb
_chemical_formula_sum 'Zr1 Mn1 Ru2 Pb1'
_cell_length_a 4.7308
_cell_length_b 4.7308
_cell_length_c 5.5085
_cell_angle_alpha 90.00
_cell_angle_beta 90.00
_cell_angle_gamma 90.00
_symmetry_space_group_name_H-M 'P 4/m m m'
_symmetry_Int_Tables_number 123
_symmetry_space_group_name_Hall '-P 4 2'
loop_
_atom_site_label
_atom_site_fract_x
_atom_site_fract_y
_atom_site_fract_z
_atom_site_occupancy
Zr1 0.0000 0.0000 0.0000 1
Mn1 0.5000 0.5000 0.5000 1
Ru1 0.0000 0.5000 0.0000 1
Pb1 0.0000 0.0000 0.5000 1
# volume = 123.3 Å³ per cell
# formation energy from the elements = 1938 meV/atom
# calculated total energy = -30.290 eV for the cell shown

=====

# 2
# TaRh2W PBE relaxed
data_TaRh2W
_chemical_formula_sum 'Ta4 Rh8 W4'
_cell_length_a 6.3028
_cell_length_b 6.3028
_cell_length_c 6.3028
_cell_angle_alpha 90.00
_cell_angle_beta 90.00
_cell_angle_gamma 90.00
_symmetry_space_group_name_H-M 'F -4 3 m'
_symmetry_Int_Tables_number 216
_symmetry_space_group_name_Hall 'F -4 2 3'
loop_
_atom_site_label
_atom_site_fract_x
_atom_site_fract_y
_atom_site_fract_z
_atom_site_occupancy
Ta1 0.0000 0.0000 0.0000 1
Rh1 0.0000 0.0000 0.5000 1
Rh2 0.2500 0.2500 0.7500 1
W1 0.2500 0.2500 0.2500 1
# volume = 250.4 Å³ per cell
# formation energy from the elements = -62 meV/atom
# calculated total energy = -159.023 eV for the cell shown

=====

# 3
# MgCd4F10 PBE relaxed
data_MgCd4F10
_chemical_formula_sum 'Mg3 Cd12 F30'
_cell_length_a 3.8334
_cell_length_b 3.8334
_cell_length_c 46.4453
_cell_angle_alpha 90.00
_cell_angle_beta 90.00
_cell_angle_gamma 120.00
_symmetry_space_group_name_H-M 'R -3 m'
_symmetry_Int_Tables_number 166
_symmetry_space_group_name_Hall '-R 3 2"'
loop_
_atom_site_label
_atom_site_fract_x
_atom_site_fract_y
_atom_site_fract_z
_atom_site_occupancy
Mg1 0.0000 0.0000 0.0000 1
Cd1 0.0000 0.0000 0.2014 1
Cd2 0.0000 0.0000 0.3959 1
F1 0.0000 0.0000 0.0441 1
F2 0.0000 0.0000 0.1495 1
F3 0.0000 0.0000 0.2533 1
F4 0.0000 0.0000 0.3462 1
F5 0.0000 0.0000 0.4477 1
# E_form (uncorrected) = -2.426 eV per atom
# volume = 591.1 Å³ per cell
# calculated total energy = -181.094 eV for the cell shown

=====

> Which of these has the highest calculated total energy?

ZrMnRu2Pb

=====

> Which value of calculated total energy does entry 2 give?

-159.023 eV for the cell shown

=====

> Number 2 is which compound?

TaRh2W